(1)
First-principles (SCAN) data for ZrIr4 at its PBEsol-relaxed geometry, as listed in Alexandria.

Cell lengths 4.970, 4.970, 4.970 Å; angles 109.47, 109.47, 109.47 degrees
Element x y z (fractional)
Zr: 0.000 0.000 0.000
Ir: 0.000 0.000 0.500
Ir: 0.000 0.500 0.000
Ir: 0.500 0.000 0.000
Ir: 0.500 0.500 0.500

ΔH_f (0 K): 1.1321 eV per atom
magnetic moment: 0.00 μB per formula unit



(2)
First-principles (SCAN) data for ZrIr2 at its PBEsol-relaxed geometry, as listed in Alexandria.

Cell lengths 5.580, 3.996, 8.582 Å; angles 90.00, 90.00, 90.00 degrees
Element x y z (fractional)
Zr: 0.143 0.250 0.103
Zr: 0.357 0.750 0.603
Zr: 0.643 0.250 0.397
Zr: 0.857 0.750 0.897
Ir: 0.114 0.250 0.749
Ir: 0.129 0.250 0.423
Ir: 0.371 0.750 0.923
Ir: 0.386 0.750 0.249
Ir: 0.614 0.250 0.751
Ir: 0.629 0.250 0.077
Ir: 0.871 0.750 0.577
Ir: 0.886 0.750 0.251

ΔH_f (0 K): -0.8874 eV per atom
magnetic moment: 0.00 μB per formula unit



(3)
First-principles (SCAN) data for ZrIr2 at its PBEsol-relaxed geometry, as listed in Alexandria.

Cell lengths 12.629, 12.629, 12.629 Å; angles 162.08, 162.08, 25.44 degrees
Element x y z (fractional)
Zr: 0.298 0.548 0.750
Zr: 0.452 0.702 0.750
Zr: 0.548 0.298 0.250
Zr: 0.702 0.452 0.250
Ir: 0.043 0.793 0.250
Ir: 0.125 0.375 0.750
Ir: 0.207 0.957 0.250
Ir: 0.375 0.125 0.250
Ir: 0.625 0.875 0.750
Ir: 0.793 0.043 0.750
Ir: 0.875 0.625 0.250
Ir: 0.957 0.207 0.750

ΔH_f (0 K): -0.9676 eV per atom
magnetic moment: 0.00 μB per formula unit



(4)
First-principles (SCAN) data for Zr3Ir at its PBEsol-relaxed geometry, as listed in Alexandria.

Cell lengths 8.050, 8.050, 8.050 Å; angles 97.04, 97.04, 139.03 degrees
Element x y z (fractional)
Zr: 0.000 0.354 0.354
Zr: 0.000 0.646 0.646
Zr: 0.043 0.043 0.588
Zr: 0.143 0.333 0.000
Zr: 0.333 0.143 0.000
Zr: 0.354 0.000 0.354
Zr: 0.455 0.455 0.412
Zr: 0.545 0.957 0.000
Zr: 0.646 0.000 0.646
Zr: 0.667 0.667 0.810
Zr: 0.857 0.857 0.190
Zr: 0.957 0.545 0.000
Ir: 0.208 0.500 0.708
Ir: 0.500 0.208 0.708
Ir: 0.500 0.792 0.292
Ir: 0.792 0.500 0.292

ΔH_f (0 K): -0.6876 eV per atom
magnetic moment: 0.00 μB per formula unit



(5)
First-principles (SCAN) data for Zr3Ir2 at its PBEsol-relaxed geometry, as listed in Alexandria.

Cell lengths 4.517, 4.517, 5.634 Å; angles 90.00, 90.00, 120.00 degrees
Element x y z (fractional)
Zr: 0.000 0.000 0.000
Zr: 0.333 0.667 0.342
Zr: 0.667 0.333 0.658
Ir: 0.333 0.667 0.830
Ir: 0.667 0.333 0.170

ΔH_f (0 K): -0.9364 eV per atom
magnetic moment: 0.00 μB per formula unit



(6)
First-principles (SCAN) data for K at its PBEsol-relaxed geometry, as listed in Alexandria.

Cell lengths 4.618, 4.618, 11.312 Å; angles 90.00, 90.00, 120.00 degrees
Element x y z (fractional)
K: 0.000 0.674 0.167
K: 0.326 0.326 0.500
K: 0.674 0.000 0.833

ΔH_f (0 K): 0.0002 eV per atom
magnetic moment: 0.01 μB per formula unit



(7)
First-principles (SCAN) data for K at its PBEsol-relaxed geometry, as listed in Alexandria.

Cell lengths 11.416, 8.387, 8.356 Å; angles 85.97, 47.13, 46.90 degrees
Element x y z (fractional)
K: 0.005 0.745 0.005
K: 0.255 0.995 0.255
K: 0.745 0.005 0.745
K: 0.995 0.255 0.995

ΔH_f (0 K): 0.0644 eV per atom
magnetic moment: 0.01 μB per formula unit



(8)
First-principles (SCAN) data for K at its PBEsol-relaxed geometry, as listed in Alexandria.

Cell lengths 13.828, 13.828, 13.828 Å; angles 109.47, 109.47, 109.47 degrees
Element x y z (fractional)
K: 0.000 0.000 0.000
K: 0.000 0.000 0.637
K: 0.000 0.190 0.375
K: 0.000 0.375 0.190
K: 0.000 0.405 0.683
K: 0.000 0.637 0.000
K: 0.000 0.683 0.405
K: 0.185 0.810 0.810
K: 0.190 0.000 0.375
K: 0.190 0.375 0.000
K: 0.277 0.595 0.595
K: 0.317 0.317 0.723
K: 0.317 0.723 0.317
K: 0.363 0.363 0.363
K: 0.375 0.000 0.190
K: 0.375 0.190 0.000
K: 0.405 0.000 0.683
K: 0.405 0.683 0.000
K: 0.595 0.277 0.595
K: 0.595 0.595 0.277
K: 0.625 0.625 0.815
K: 0.625 0.815 0.625
K: 0.637 0.000 0.000
K: 0.683 0.000 0.405
K: 0.683 0.405 0.000
K: 0.723 0.317 0.317
K: 0.810 0.185 0.810
K: 0.810 0.810 0.185
K: 0.815 0.625 0.625

ΔH_f (0 K): 0.0106 eV per atom
magnetic moment: 0.00 μB per formula unit



(9)
First-principles (SCAN) data for K at its PBEsol-relaxed geometry, as listed in Alexandria.

Cell lengths 8.849, 8.329, 4.457 Å; angles 81.53, 68.59, 29.88 degrees
Element x y z (fractional)
K: 0.131 0.131 0.869
K: 0.869 0.869 0.131

ΔH_f (0 K): 0.0339 eV per atom
magnetic moment: 0.01 μB per formula unit



(10)
First-principles (SCAN) data for K at its PBEsol-relaxed geometry, as listed in Alexandria.

Cell lengths 11.320, 4.484, 11.326 Å; angles 90.00, 90.00, 90.00 degrees
Element x y z (fractional)
K: 0.006 0.250 0.182
K: 0.182 0.250 0.522
K: 0.318 0.750 0.022
K: 0.494 0.750 0.682
K: 0.506 0.250 0.318
K: 0.682 0.250 0.978
K: 0.818 0.750 0.478
K: 0.994 0.750 0.818

ΔH_f (0 K): 0.0372 eV per atom
magnetic moment: 0.00 μB per formula unit



(11)
First-principles (SCAN) data for K at its PBEsol-relaxed geometry, as listed in Alexandria.

Cell lengths 8.391, 8.391, 8.391 Å; angles 150.32, 150.32, 42.48 degrees
Element x y z (fractional)
K: 0.375 0.625 0.750
K: 0.625 0.375 0.250

ΔH_f (0 K): 0.0649 eV per atom
magnetic moment: 0.01 μB per formula unit



(12)
First-principles (SCAN) data for K at its PBEsol-relaxed geometry, as listed in Alexandria.

Cell lengths 8.250, 8.250, 8.250 Å; angles 90.00, 90.00, 90.00 degrees
Element x y z (fractional)
K: 0.000 0.000 0.000
K: 0.000 0.250 0.500
K: 0.000 0.750 0.500
K: 0.250 0.500 0.000
K: 0.500 0.000 0.250
K: 0.500 0.000 0.750
K: 0.500 0.500 0.500
K: 0.750 0.500 0.000

ΔH_f (0 K): 0.0118 eV per atom
magnetic moment: 0.00 μB per formula unit